Entry 1:
## NaSrO3 (PBE)

Data for a relaxed structure of NaSrO3.

Uncorrected formation energy, meV per atom: -720
Crystal system: cubic

Lattice parameters (Å, degrees): 4.606 4.606 4.606 90.00 90.00 90.00
Each line ends with the local moment (μB).
Element x y z (fractional)
1 O 0.000 0.000 0.500  1.00
2 O 0.000 0.500 0.000  0.83
3 O 0.500 0.000 0.000  0.62
4 Na 0.500 0.500 0.500  -0.01
5 Sr 0.000 0.000 0.000  0.04

Entry 2:
## PaInP2 (PBE)

Data for a relaxed structure of PaInP2.

Energy above the most stable polymorph in this dataset, meV/atom: 127.9
Crystal system: trigonal
DFT formation energy, eV/atom: -0.51

Lattice parameters (Å, degrees): 4.062 4.062 7.666 74.64 74.64 60.00
Element x y z (fractional)
1 In 0.500 0.500 0.500
2 P 0.267 0.267 0.198
3 P 0.733 0.733 0.802
4 Pa 0.000 0.000 0.000

Entry 3:
## Cr4Ga (PBE)

Data for a relaxed structure of Cr4Ga.

Energy above the most stable polymorph in this dataset, meV/atom: 0.0
Crystal system: tetragonal
DFT formation energy, eV/atom: -0.02

Lattice parameters (Å, degrees): 2.906 4.780 4.780 84.70 72.30 72.30
Element x y z (fractional)
1 Cr 0.611 0.577 0.201
2 Cr 0.812 0.799 0.577
3 Cr 0.188 0.201 0.423
4 Cr 0.389 0.423 0.799
5 Ga 0.000 0.000 0.000

Entry 4:
## Cs2SbI6Cl (PBE)

Data for a relaxed structure of Cs2SbI6Cl.

Uncorrected formation energy, meV per atom: -755
Crystal system: tetragonal

Lattice parameters (Å, degrees): 8.499 8.499 8.829 61.23 61.23 90.00
Element x y z (fractional)
1 I 0.758 0.242 0.000
2 I 0.758 0.758 0.000
3 I 0.242 0.758 0.000
4 I 0.228 0.228 0.543
5 I 0.772 0.772 0.457
6 I 0.242 0.242 0.000
7 Cs 0.750 0.250 0.500
8 Cs 0.250 0.750 0.500
9 Cl 0.500 0.500 0.000
10 Sb 0.000 0.000 0.000

Entry 5:
## CaSi2Sb (PBE)

Data for a relaxed structure of CaSi2Sb.

Uncorrected formation energy, meV per atom: -88
Crystal system: monoclinic

Lattice parameters (Å, degrees): 3.794 4.672 5.743 69.67 90.00 90.00
Element x y z (fractional)
1 Si 0.500 0.035 0.277
2 Si 0.000 0.168 0.007
3 Ca 0.000 0.468 0.447
4 Sb 0.500 0.829 0.768

Entry 6:
## CuSe2SBr (PBE)

Data for a relaxed structure of CuSe2SBr.

Energy above the most stable polymorph in this dataset, meV/atom: 0.0
Uncorrected formation energy, meV per atom: 705
Crystal system: tetragonal

Lattice parameters (Å, degrees): 4.867 4.867 4.690 90.00 90.00 90.00
Element x y z (fractional)
1 Br 0.000 0.000 0.500
2 S 0.500 0.500 0.500
3 Se 0.500 0.000 0.000
4 Se 0.000 0.500 0.000
5 Cu 0.000 0.000 0.000

Entry 7:
## Sr2LiN (PBE)

Data for a relaxed structure of Sr2LiN.

Uncorrected formation energy, meV per atom: -382
Crystal system: monoclinic

Lattice parameters (Å, degrees): 4.170 7.537 7.685 104.11 105.74 90.00
Element x y z (fractional)
1 Sr 0.877 0.939 0.753
2 Sr 0.123 0.061 0.247
3 Sr 0.123 0.561 0.247
4 Sr 0.877 0.439 0.753
5 N 0.000 0.250 0.000
6 N 0.000 0.750 0.000
7 Li 0.500 0.750 0.000
8 Li 0.500 0.250 0.000

Entry 8:
## Ba2GeSbPt6 (PBE)

Data for a relaxed structure of Ba2GeSbPt6.

Uncorrected formation energy, meV per atom: -609
Crystal system: triclinic

Lattice parameters (Å, degrees): 6.978 6.933 6.948 59.78 60.29 89.92
Element x y z (fractional)
1 Pt 0.756 0.655 0.493
2 Pt 0.146 0.652 0.102
3 Pt 0.244 0.345 0.507
4 Pt 0.854 0.348 0.898
5 Pt 0.755 0.656 0.097
6 Pt 0.245 0.344 0.903
7 Ba 0.286 0.855 0.430
8 Ba 0.714 0.145 0.570
9 Sb 0.500 0.500 0.000
10 Ge 0.000 0.000 0.000